Version w
## Li3ZnPt (PBE-GGA)

Data for a relaxed Li3ZnPt crystal.

```
10
Lattice="6.699 0.000 0.000 0.000 7.338 0.000 -2.822 0.000 3.327" Properties=species:S:1:pos:R:3 pbc="T T T"
Li 0.000 0.000 0.000
Li -1.319 2.274 1.739
Li -1.319 5.064 1.739
Li 3.349 3.669 0.000
Li 2.031 1.395 1.739
Li 2.031 5.943 1.739
Zn -0.337 0.000 2.583
Zn 3.012 3.669 2.583
Pt 1.016 3.669 0.874
Pt 4.365 0.000 0.874
```

Crystal system: monoclinic
M_tot, μB per cell: 0.00
Calculated density, g/cm³: 5.71
Space group: Cm (8)

***

Version x
## Li3ZnPt (PBE-GGA)

Data for a relaxed Li3ZnPt crystal.

```
10
Lattice="3.815 2.203 3.312 -3.815 2.203 3.312 0.000 -4.405 3.312" Properties=species:S:1:pos:R:3 pbc="T T T"
Li -1.387 -2.312 4.162
Li -2.696 0.045 5.773
Li -1.309 2.357 4.162
Li 1.309 -2.357 5.773
Li 2.696 -0.045 4.162
Li 1.387 2.312 5.773
Zn 0.000 0.000 3.760
Zn 0.000 0.000 6.175
Pt 0.000 0.000 1.315
Pt 0.000 0.000 8.620
```

Crystal system: trigonal
M_tot, μB per cell: 0.00
Calculated density, g/cm³: 5.60
Space group: R-3 (148)

***

Version y
## Li3ZnPt (PBE-GGA)

Data for a relaxed Li3ZnPt crystal.

```
5
Lattice="4.734 0.000 0.000 0.000 4.734 0.000 0.000 0.000 4.734" Properties=species:S:1:pos:R:3 pbc="T T T"
Li 0.000 0.000 2.367
Li 0.000 2.367 0.000
Li 2.367 0.000 0.000
Zn 2.367 2.367 2.367
Pt 0.000 0.000 0.000
```

Crystal system: cubic
M_tot, μB per cell: 0.00
Calculated density, g/cm³: 4.40
Space group: Pm-3m (221)

***

Version z
## Li3ZnPt (PBE-GGA)

Data for a relaxed Li3ZnPt crystal.

```
5
Lattice="4.436 0.000 0.000 0.000 4.436 0.000 0.000 0.000 4.436" Properties=species:S:1:pos:R:3 pbc="T T T"
Li 0.000 0.000 2.218
Li 0.000 2.218 0.000
Li 2.218 0.000 0.000
Zn 0.000 0.000 0.000
Pt 2.218 2.218 2.218
```

Crystal system: cubic
M_tot, μB per cell: 0.00
Calculated density, g/cm³: 5.35
Space group: Pm-3m (221)

***

Relative energy table, unit meV per atom: version w 0; version x 27; version y 338; version z 658